No. 1
A plane-wave DFT calculation with GGA-PBE was carried out for crystalline Sr2FeHg at its relaxed geometry.

Structure (extended XYZ):
```
4
Lattice="-3.3619 5.4694 -5.3236 -4.1078 1.3380 -7.1340 -6.8284 2.9019 -3.8092" Properties=species:S:1:pos:R:3 pbc="T T T"
Fe -6.5470 4.4458 -7.4485
Hg -11.3236 7.6894 -12.8828
Sr -0.5188 0.3523 -0.5902
Sr -3.0576 2.0763 -3.4786
```

Computed properties:
**DFT formation energy**: 0.0962 eV per atom
**Calculated volume**: 35.8 A^3/atom
**D(E_F)**: 4.7 states/eV/f.u.
**Mass density**: 5.005 Mg/m³

---

No. 2
A plane-wave DFT calculation with GGA-PBE was carried out for crystalline Sr2FeHg at its relaxed geometry.

Structure (extended XYZ):
```
4
Lattice="-2.6789 -1.1979 2.4468 2.6443 -0.2705 2.7627 1.1687 7.3979 4.9015" Properties=species:S:1:pos:R:3 pbc="T T T"
Hg 1.5203 4.7466 6.9716
Fe -0.3862 1.1829 3.1395
Sr 1.9157 3.4728 3.7977
Sr 2.6351 -0.1796 2.7971
```

Computed properties:
**DFT formation energy**: 0.1823 eV per atom
**Calculated volume**: 29.7 A^3/atom
**D(E_F)**: 6.7 states/eV/f.u.
**Mass density**: 6.044 Mg/m³

---

No. 3
A plane-wave DFT calculation with GGA-PBE was carried out for crystalline Sr2FeHg at its relaxed geometry.

Structure (extended XYZ):
```
4
Lattice="5.5505 0.0119 -0.0382 0.0341 5.5504 0.0382 -2.7272 -2.8465 3.9076" Properties=species:S:1:pos:R:3 pbc="T T T"
Sr 5.5678 5.5456 0.0000
Sr 2.8091 2.7979 0.0000
Hg 0.0496 2.7425 1.9729
Fe 2.8078 -0.0268 1.9347
```

Computed properties:
**DFT formation energy**: 0.2123 eV per atom
**Calculated volume**: 30.1 A^3/atom
**D(E_F)**: 6.5 states/eV/f.u.
**Mass density**: 5.953 Mg/m³